4
Lattice="7.660 0.000 0.000 0.000 4.112 0.000 0.000 0.000 4.112" Properties=species:S:1:pos:R:3 comment="ZnSb2Br PBE optimized geometry" sg=P4/mmm raw_formation_energy_ev_per_atom=0.23 crystal_system=tetragonal pbc="T T T"
Br 3.830 0.000 2.056
Sb 0.000 0.000 0.000
Sb 0.000 2.056 2.056
Zn 3.830 2.056 0.000



4
Lattice="-10.644 5.950 3.068 -9.353 5.482 6.372 -8.329 8.311 4.435" Properties=species:S:1:pos:R:3 comment="ZnSbBr2 PBE optimized geometry" sg=R-3m raw_formation_energy_ev_per_atom=-0.25 crystal_system=trigonal pbc="T T T"
Br -1.167 0.813 0.572
Br -12.996 9.058 6.366
Sb -7.082 4.936 3.469
Zn -21.245 14.807 10.406



Record order is preserved below.
V: 129.5; 137.5 Å³/cell
Record order is preserved below.
VASP energy: -2.567; -2.440 eV/atom